NpSi2Au6 GGA-PBE relaxed; V = 18.40 Å³/atom; E_tot = -44.77 eV per cell; total magnetization = 4.3 μB per formula unit; SG = P4/mmm, No. 123
1.0
4.229 0.000 0.000
0.000 4.229 0.000
0.000 0.000 9.259
Np Au Si
1 6 2
Cartesian
0.000 0.000 0.000 Np
2.114 0.000 2.522 Au
0.000 2.114 2.522 Au
0.000 0.000 4.629 Au
2.114 0.000 6.737 Au
0.000 2.114 6.737 Au
2.114 2.114 4.629 Au
2.114 2.114 8.118 Si
2.114 2.114 1.140 Si



NpSiAu2 GGA-PBE relaxed; V = 20.92 Å³/atom; E_tot = -25.05 eV per cell; total magnetization = 4.0 μB per formula unit; SG = R-3m, No. 166
1.0
-3.464 -2.596 0.163
-0.214 -3.488 -2.560
1.059 -4.848 2.853
Np Si Au
1 1 2
Cartesian
0.000 0.000 0.000 Np
-1.309 -5.466 0.228 Si
-2.139 -7.984 0.063 Au
-0.480 -2.948 0.392 Au



NpSi2Au5 GGA-PBE relaxed; V = 19.24 Å³/atom; E_tot = -40.97 eV per cell; total magnetization = 4.1 μB per formula unit; SG = Immm, No. 71
1.0
-2.868 -2.042 -2.382
-4.925 -1.943 3.802
-5.263 3.781 -0.698
Si Au Np
2 5 1
Cartesian
-3.257 -0.055 0.175 Si
-9.799 -0.149 0.547 Si
-5.395 -1.819 0.469 Au
-7.525 -0.690 2.066 Au
-5.094 0.919 1.552 Au
-5.531 0.487 -1.344 Au
-7.661 1.616 0.253 Au
0.000 0.000 0.000 Np



NpSiAu GGA-PBE relaxed; V = 19.35 Å³/atom; E_tot = -42.33 eV per cell; total magnetization = 3.6 μB per formula unit; SG = C2/m, No. 12
1.0
2.984 0.000 0.000
-1.492 4.560 -1.993
0.000 -5.739 11.040
Np Au Si
2 2 2
Cartesian
1.492 3.426 -1.447 Np
0.000 -4.605 10.494 Np
0.000 -0.220 5.740 Au
1.492 -0.959 3.306 Au
1.492 -2.341 6.588 Si
0.000 1.162 2.459 Si



Np3Si4Au7 GGA-PBE relaxed; V = 19.28 Å³/atom; E_tot = -86.02 eV per cell; total magnetization = 11.9 μB per formula unit; SG = C2/m, No. 12
1.0
-3.468 0.479 2.559
-5.812 -5.037 -3.259
-0.574 -7.264 4.257
Si Au Np
4 7 3
Cartesian
-5.066 -3.577 1.153 Si
-8.526 -6.651 0.714 Si
-1.328 -5.170 2.843 Si
-4.788 -8.245 2.404 Si
-3.439 -6.697 3.942 Au
-5.741 -8.276 4.792 Au
-4.113 -3.546 -1.235 Au
-3.660 -4.048 3.147 Au
0.000 0.000 0.000 Au
-6.194 -7.773 0.410 Au
-6.415 -5.124 -0.385 Au
-7.585 -9.560 2.534 Np
-3.193 -6.151 0.499 Np
-2.269 -2.262 1.023 Np



Np2SiAu GGA-PBE relaxed; V = 21.03 Å³/atom; E_tot = -35.06 eV per cell; total magnetization = 8.5 μB per formula unit; SG = P4/mmm, No. 123
1.0
-2.191 2.116 2.445
1.888 -1.561 3.043
3.705 4.077 -0.208
Np Si Au
2 1 1
Cartesian
0.968 1.065 -0.054 Np
2.737 3.012 -0.154 Np
1.701 2.316 2.640 Si
-0.151 0.278 2.744 Au